(1)
DFT (PBE) results for a relaxed CrMoPS2 crystal.

Cell and atoms, written as CIF:
```
data_CrMoPS2
_cell_length_a 4.490
_cell_length_b 4.490
_cell_length_c 4.521
_cell_angle_alpha 90.00
_cell_angle_beta 90.00
_cell_angle_gamma 90.00
_symmetry_space_group_name_H-M 'P 4/m m m'
_symmetry_Int_Tables_number 123
_symmetry_space_group_name_Hall '-P 4 2'
loop_
_atom_site_label
_atom_site_fract_x
_atom_site_fract_y
_atom_site_fract_z
Cr1 0.000 0.000 0.000
Mo1 0.500 0.500 0.500
P1 0.000 0.000 0.500
S1 0.000 0.500 0.000
```

Raw total energy: -6.173 eV per atom
Energy relative to the lowest polymorph listed for this composition: 206 meV/atom

(2)
DFT (PBE) results for a relaxed CrMoPS2 crystal.

Cell and atoms, written as CIF:
```
data_CrMoPS2
_cell_length_a 4.658
_cell_length_b 4.658
_cell_length_c 4.770
_cell_angle_alpha 90.00
_cell_angle_beta 90.00
_cell_angle_gamma 90.00
_symmetry_space_group_name_H-M 'P 4/m m m'
_symmetry_Int_Tables_number 123
_symmetry_space_group_name_Hall '-P 4 2'
loop_
_atom_site_label
_atom_site_fract_x
_atom_site_fract_y
_atom_site_fract_z
Cr1 0.000 0.000 0.000
Mo1 0.500 0.500 0.500
P1 0.500 0.500 0.000
S1 0.000 0.500 0.500
```

Raw total energy: -6.379 eV per atom
Energy relative to the lowest polymorph listed for this composition: 0 meV/atom

(3)
DFT (PBE) results for a relaxed CrSiMoP2 crystal.

Cell and atoms, written as CIF:
```
data_CrSiMoP2
_cell_length_a 4.604
_cell_length_b 4.604
_cell_length_c 4.773
_cell_angle_alpha 90.00
_cell_angle_beta 90.00
_cell_angle_gamma 90.00
_symmetry_space_group_name_H-M 'P 4/m m m'
_symmetry_Int_Tables_number 123
_symmetry_space_group_name_Hall '-P 4 2'
loop_
_atom_site_label
_atom_site_fract_x
_atom_site_fract_y
_atom_site_fract_z
Cr1 0.000 0.000 0.000
Si1 0.500 0.500 0.000
Mo1 0.500 0.500 0.500
P1 0.000 0.500 0.500
```

Raw total energy: -6.125 eV per atom

(4)
DFT (PBE) results for a relaxed PaCrMo2 crystal.

Cell and atoms, written as CIF:
```
data_PaCrMo2
_cell_length_a 3.270
_cell_length_b 3.270
_cell_length_c 6.359
_cell_angle_alpha 90.00
_cell_angle_beta 90.00
_cell_angle_gamma 90.00
_symmetry_space_group_name_H-M 'P 4/m m m'
_symmetry_Int_Tables_number 123
_symmetry_space_group_name_Hall '-P 4 2'
loop_
_atom_site_label
_atom_site_fract_x
_atom_site_fract_y
_atom_site_fract_z
Pa1 0.000 0.000 0.000
Cr1 0.000 0.000 0.500
Mo1 0.500 0.500 0.270
```

Raw total energy: -9.888 eV per atom
ΔE_f: 0.31 eV per atom
Energy relative to the lowest polymorph listed for this composition: 0 meV/atom

(5)
DFT (PBE) results for a relaxed PaCrMo crystal.

Cell and atoms, written as CIF:
```
data_PaCrMo
_cell_length_a 4.4547
_cell_length_b 4.4547
_cell_length_c 2.9575
_cell_angle_alpha 90.00
_cell_angle_beta 90.00
_cell_angle_gamma 120.00
_symmetry_space_group_name_H-M 'P 3 m 1'
_symmetry_Int_Tables_number 156
_symmetry_space_group_name_Hall 'P 3 -2"'
loop_
_atom_site_label
_atom_site_fract_x
_atom_site_fract_y
_atom_site_fract_z
Pa1 0.0000 0.0000 0.0000
Cr1 0.3333 0.6667 0.2930
Mo1 0.6667 0.3333 0.7096
```

Raw total energy: -9.691 eV per atom
ΔE_f: 0.29 eV per atom
Energy relative to the lowest polymorph listed for this composition: 59 meV/atom

(6)
DFT (PBE) results for a relaxed PaCr2Mo crystal.

Cell and atoms, written as CIF:
```
data_PaCr2Mo
_cell_length_a 3.184
_cell_length_b 3.184
_cell_length_c 6.292
_cell_angle_alpha 90.00
_cell_angle_beta 90.00
_cell_angle_gamma 90.00
_symmetry_space_group_name_H-M 'P 4/m m m'
_symmetry_Int_Tables_number 123
_symmetry_space_group_name_Hall '-P 4 2'
loop_
_atom_site_label
_atom_site_fract_x
_atom_site_fract_y
_atom_site_fract_z
Pa1 0.000 0.000 0.000
Cr1 0.500 0.500 0.264
Mo1 0.000 0.000 0.500
```

Raw total energy: -9.557 eV per atom
ΔE_f: 0.34 eV per atom

(7)
DFT (PBE) results for a relaxed PaCrMo crystal.

Cell and atoms, written as CIF:
```
data_PaCrMo
_cell_length_a 2.9451
_cell_length_b 2.9451
_cell_length_c 21.1233
_cell_angle_alpha 90.00
_cell_angle_beta 90.00
_cell_angle_gamma 120.00
_symmetry_space_group_name_H-M 'R 3 m'
_symmetry_Int_Tables_number 160
_symmetry_space_group_name_Hall 'R 3 -2"'
loop_
_atom_site_label
_atom_site_fract_x
_atom_site_fract_y
_atom_site_fract_z
Pa1 0.0000 0.0000 0.0000
Cr1 0.0000 0.0000 0.1142
Mo1 0.0000 0.0000 0.8687
```

Raw total energy: -9.404 eV per atom
ΔE_f: 0.58 eV per atom
Energy relative to the lowest polymorph listed for this composition: 345 meV/atom

(8)
DFT (PBE) results for a relaxed PaCrMo crystal.

Cell and atoms, written as CIF:
```
data_PaCrMo
_cell_length_a 3.046
_cell_length_b 3.046
_cell_length_c 11.414
_cell_angle_alpha 90.00
_cell_angle_beta 90.00
_cell_angle_gamma 90.00
_symmetry_space_group_name_H-M 'I 4 m m'
_symmetry_Int_Tables_number 107
_symmetry_space_group_name_Hall 'I 4 -2'
loop_
_atom_site_label
_atom_site_fract_x
_atom_site_fract_y
_atom_site_fract_z
Pa1 0.000 0.000 0.000
Cr1 0.000 0.000 0.685
Mo1 0.000 0.000 0.299
```

Raw total energy: -9.749 eV per atom
ΔE_f: 0.23 eV per atom
Energy relative to the lowest polymorph listed for this composition: 0 meV/atom

(9)
DFT (PBE) results for a relaxed PaCrMo2 crystal.

Cell and atoms, written as CIF:
```
data_PaCrMo2
_cell_length_a 2.9428
_cell_length_b 2.9428
_cell_length_c 27.7382
_cell_angle_alpha 90.00
_cell_angle_beta 90.00
_cell_angle_gamma 120.00
_symmetry_space_group_name_H-M 'R -3 m'
_symmetry_Int_Tables_number 166
_symmetry_space_group_name_Hall '-R 3 2"'
loop_
_atom_site_label
_atom_site_fract_x
_atom_site_fract_y
_atom_site_fract_z
Pa1 0.0000 0.0000 0.0000
Cr1 0.0000 0.0000 0.5000
Mo1 0.0000 0.0000 0.0971
```

Raw total energy: -9.627 eV per atom
ΔE_f: 0.57 eV per atom
Energy relative to the lowest polymorph listed for this composition: 261 meV/atom

(10)
DFT (PBE) results for a relaxed ScPaCrMo crystal.

Cell and atoms, written as CIF:
```
data_ScPaCrMo
_cell_length_a 6.654
_cell_length_b 6.654
_cell_length_c 6.654
_cell_angle_alpha 90.00
_cell_angle_beta 90.00
_cell_angle_gamma 90.00
_symmetry_space_group_name_H-M 'F -4 3 m'
_symmetry_Int_Tables_number 216
_symmetry_space_group_name_Hall 'F -4 2 3'
loop_
_atom_site_label
_atom_site_fract_x
_atom_site_fract_y
_atom_site_fract_z
Sc1 0.000 0.000 0.000
Pa1 0.000 0.000 0.500
Cr1 0.250 0.250 0.250
Mo1 0.250 0.250 0.750
```

Raw total energy: -8.947 eV per atom
ΔE_f: 0.12 eV per atom

(11)
DFT (PBE) results for a relaxed PaCrSi2Mo crystal.

Cell and atoms, written as CIF:
```
data_PaCrSi2Mo
_cell_length_a 3.951
_cell_length_b 3.951
_cell_length_c 10.838
_cell_angle_alpha 90.00
_cell_angle_beta 90.00
_cell_angle_gamma 90.00
_symmetry_space_group_name_H-M 'I -4 m 2'
_symmetry_Int_Tables_number 119
_symmetry_space_group_name_Hall 'I -4 -2'
loop_
_atom_site_label
_atom_site_fract_x
_atom_site_fract_y
_atom_site_fract_z
Pa1 0.000 0.000 0.000
Cr1 0.000 0.500 0.250
Si1 0.000 0.000 0.391
Mo1 0.000 0.500 0.750
```

Raw total energy: -8.541 eV per atom

(12)
DFT (PBE) results for a relaxed PaTaCrMo crystal.

Cell and atoms, written as CIF:
```
data_PaTaCrMo
_cell_length_a 6.560
_cell_length_b 6.560
_cell_length_c 6.560
_cell_angle_alpha 90.00
_cell_angle_beta 90.00
_cell_angle_gamma 90.00
_symmetry_space_group_name_H-M 'F -4 3 m'
_symmetry_Int_Tables_number 216
_symmetry_space_group_name_Hall 'F -4 2 3'
loop_
_atom_site_label
_atom_site_fract_x
_atom_site_fract_y
_atom_site_fract_z
Pa1 0.000 0.000 0.000
Ta1 0.000 0.000 0.500
Cr1 0.250 0.250 0.750
Mo1 0.250 0.250 0.250
```

Raw total energy: -10.358 eV per atom
ΔE_f: 0.09 eV per atom

(13)
DFT (PBE) results for a relaxed PaTiCrMo crystal.

Cell and atoms, written as CIF:
```
data_PaTiCrMo
_cell_length_a 6.474
_cell_length_b 6.474
_cell_length_c 6.474
_cell_angle_alpha 90.00
_cell_angle_beta 90.00
_cell_angle_gamma 90.00
_symmetry_space_group_name_H-M 'F -4 3 m'
_symmetry_Int_Tables_number 216
_symmetry_space_group_name_Hall 'F -4 2 3'
loop_
_atom_site_label
_atom_site_fract_x
_atom_site_fract_y
_atom_site_fract_z
Pa1 0.000 0.000 0.000
Ti1 0.000 0.000 0.500
Cr1 0.250 0.250 0.250
Mo1 0.250 0.250 0.750
```

Raw total energy: -9.443 eV per atom
ΔE_f: 0.02 eV per atom

(14)
DFT (PBE) results for a relaxed ZrPaCrMo crystal.

Cell and atoms, written as CIF:
```
data_ZrPaCrMo
_cell_length_a 6.703
_cell_length_b 6.703
_cell_length_c 6.703
_cell_angle_alpha 90.00
_cell_angle_beta 90.00
_cell_angle_gamma 90.00
_symmetry_space_group_name_H-M 'F -4 3 m'
_symmetry_Int_Tables_number 216
_symmetry_space_group_name_Hall 'F -4 2 3'
loop_
_atom_site_label
_atom_site_fract_x
_atom_site_fract_y
_atom_site_fract_z
Zr1 0.000 0.000 0.000
Pa1 0.000 0.000 0.500
Cr1 0.250 0.250 0.250
Mo1 0.250 0.250 0.750
```

Raw total energy: -9.502 eV per atom
ΔE_f: 0.12 eV per atom

(15)
DFT (PBE) results for a relaxed CrMoPb4 crystal.

Cell and atoms, written as CIF:
```
data_CrMoPb4
_cell_length_a 8.933
_cell_length_b 8.933
_cell_length_c 8.933
_cell_angle_alpha 90.00
_cell_angle_beta 90.00
_cell_angle_gamma 90.00
_symmetry_space_group_name_H-M 'F -4 3 m'
_symmetry_Int_Tables_number 216
_symmetry_space_group_name_Hall 'F -4 2 3'
loop_
_atom_site_label
_atom_site_fract_x
_atom_site_fract_y
_atom_site_fract_z
Cr1 0.000 0.000 0.000
Mo1 0.250 0.250 0.750
Pb1 0.124 0.124 0.376
```

Raw total energy: -4.779 eV per atom
ΔE_f: 1.10 eV per atom

(16)
DFT (PBE) results for a relaxed CrMoPb3 crystal.

Cell and atoms, written as CIF:
```
data_CrMoPb3
_cell_length_a 5.403
_cell_length_b 5.403
_cell_length_c 5.403
_cell_angle_alpha 90.00
_cell_angle_beta 90.00
_cell_angle_gamma 90.00
_symmetry_space_group_name_H-M 'P m -3 m'
_symmetry_Int_Tables_number 221
_symmetry_space_group_name_Hall '-P 4 2 3'
loop_
_atom_site_label
_atom_site_fract_x
_atom_site_fract_y
_atom_site_fract_z
Cr1 0.000 0.000 0.000
Mo1 0.500 0.500 0.500
Pb1 0.000 0.500 0.500
```

Raw total energy: -5.405 eV per atom
ΔE_f: 0.91 eV per atom
Energy relative to the lowest polymorph listed for this composition: 0 meV/atom

(17)
DFT (PBE) results for a relaxed CrMo4Pb crystal.

Cell and atoms, written as CIF:
```
data_CrMo4Pb
_cell_length_a 7.497
_cell_length_b 7.497
_cell_length_c 7.497
_cell_angle_alpha 90.00
_cell_angle_beta 90.00
_cell_angle_gamma 90.00
_symmetry_space_group_name_H-M 'F -4 3 m'
_symmetry_Int_Tables_number 216
_symmetry_space_group_name_Hall 'F -4 2 3'
loop_
_atom_site_label
_atom_site_fract_x
_atom_site_fract_y
_atom_site_fract_z
Cr1 0.000 0.000 0.000
Mo1 0.125 0.125 0.375
Pb1 0.250 0.250 0.750
```

Raw total energy: -8.847 eV per atom
ΔE_f: 0.60 eV per atom

(18)
DFT (PBE) results for a relaxed CrMoPb3 crystal.

Cell and atoms, written as CIF:
```
data_CrMoPb3
_cell_length_a 5.206
_cell_length_b 5.206
_cell_length_c 5.206
_cell_angle_alpha 90.00
_cell_angle_beta 90.00
_cell_angle_gamma 90.00
_symmetry_space_group_name_H-M 'P m -3 m'
_symmetry_Int_Tables_number 221
_symmetry_space_group_name_Hall '-P 4 2 3'
loop_
_atom_site_label
_atom_site_fract_x
_atom_site_fract_y
_atom_site_fract_z
Cr1 0.000 0.000 0.000
Mo1 0.500 0.500 0.500
Pb1 0.000 0.000 0.500
```

Raw total energy: -5.199 eV per atom
ΔE_f: 1.12 eV per atom
Energy relative to the lowest polymorph listed for this composition: 206 meV/atom

(19)
DFT (PBE) results for a relaxed Cr2MoRhPb crystal.

Cell and atoms, written as CIF:
```
data_Cr2MoRhPb
_cell_length_a 4.485
_cell_length_b 4.485
_cell_length_c 5.039
_cell_angle_alpha 90.00
_cell_angle_beta 90.00
_cell_angle_gamma 90.00
_symmetry_space_group_name_H-M 'P 4/m m m'
_symmetry_Int_Tables_number 123
_symmetry_space_group_name_Hall '-P 4 2'
loop_
_atom_site_label
_atom_site_fract_x
_atom_site_fract_y
_atom_site_fract_z
Cr1 0.000 0.500 0.000
Mo1 0.000 0.000 0.500
Rh1 0.500 0.500 0.000
Pb1 0.500 0.500 0.500
```

Raw total energy: -6.475 eV per atom
ΔE_f: 1.75 eV per atom

(20)
DFT (PBE) results for a relaxed CrMo2RhPb crystal.

Cell and atoms, written as CIF:
```
data_CrMo2RhPb
_cell_length_a 4.734
_cell_length_b 4.734
_cell_length_c 4.962
_cell_angle_alpha 90.00
_cell_angle_beta 90.00
_cell_angle_gamma 90.00
_symmetry_space_group_name_H-M 'P 4/m m m'
_symmetry_Int_Tables_number 123
_symmetry_space_group_name_Hall '-P 4 2'
loop_
_atom_site_label
_atom_site_fract_x
_atom_site_fract_y
_atom_site_fract_z
Cr1 0.000 0.000 0.000
Mo1 0.000 0.500 0.500
Rh1 0.500 0.500 0.500
Pb1 0.500 0.500 0.000
```

Raw total energy: -6.507 eV per atom
ΔE_f: 1.96 eV per atom

| no. | calculated volume (Å³ per atom) |
| --- | --- |
| 1 | 18.2 |
| 2 | 20.7 |
| 3 | 20.2 |
| 4 | 17.0 |
| 5 | 16.9 |
| 6 | 16.0 |
| 7 | 17.6 |
| 8 | 17.6 |
| 9 | 17.3 |
| 10 | 18.4 |
| 11 | 16.9 |
| 12 | 17.6 |
| 13 | 17.0 |
| 14 | 18.8 |
| 15 | 29.7 |
| 16 | 31.5 |
| 17 | 17.6 |
| 18 | 28.2 |
| 19 | 20.3 |
| 20 | 22.2 |